Compound: MgScAu
Source: OQMD
Functional: PBE
Structure: relaxed

For the total energy, the calculation gives -12.91 eV per formula unit.

a = 6.3095 Å, b = 4.5181 Å, c = 8.3187 Å
α = 90.00°, β = 90.00°, γ = 90.00°
With the nearest neighbours (Å) after each atom.
Space group Pnma (No. 62)
Asymmetric unit:
Mg 0.1521 0.2500 0.0533 (multiplicity 4)  4 Au 2.71-2.80
Sc 0.0387 0.2500 0.6830 (multiplicity 4)  5 Au 2.84-3.12, 4 Mg 3.13-3.17
Au 0.2332 0.2500 0.3745 (multiplicity 4)  4 Mg 2.71-2.80, 3 Sc 2.84-2.88

Compound: RbTmSnSe3
Source: OQMD
Functional: PBE
Structure: relaxed

For the total energy, the calculation gives -26.96 eV per formula unit.

a = 4.0713 Å, b = 17.0420 Å, c = 11.8544 Å
α = 90.00°, β = 90.00°, γ = 90.00°
With the nearest neighbours (Å) after each atom.
Space group Cmcm (No. 63)
Asymmetric unit:
Rb 0.0000 0.1911 0.2500 (multiplicity 4)  2 Se 3.30
Tm 0.0000 0.5000 0.0000 (multiplicity 4)  6 Se 2.81-2.96
Sn 0.0000 0.1122 0.7500 (multiplicity 4)  4 Se 2.77-2.91
Se 0.0000 0.1133 0.5046 (multiplicity 8)  2 Tm 2.81, 1 Sn 2.91
Se 0.0000 0.4979 0.2500 (multiplicity 4)  2 Sn 2.77, 2 Tm 2.96

Compound: DyErAu2O4
Source: OQMD
Functional: PBE
Structure: relaxed

For the total energy, the calculation gives -53.57 eV per formula unit.

a = 3.5230 Å, b = 3.5230 Å, c = 12.1337 Å
α = 90.00°, β = 90.00°, γ = 120.00°
With the nearest neighbours (Å) after each atom.
Space group P-3m1 (No. 164)
Asymmetric unit:
Dy 0.0000 0.0000 0.0000 (multiplicity 1)  6 O 2.27
Er 0.0000 0.0000 0.5000 (multiplicity 1)  6 O 2.26
Au 0.3333 0.6667 0.7488 (multiplicity 2)  2 O 2.04
O 0.3333 0.6667 0.5807 (multiplicity 2)  1 Au 2.04, 3 Er 2.26
O 0.3333 0.6667 0.9170 (multiplicity 2)  1 Au 2.04, 3 Dy 2.27

Compound: CsErMgTe3
Source: OQMD
Functional: PBE
Structure: relaxed

For the total energy, the calculation gives -23.70 eV per formula unit.

a = 10.2096 Å, b = 4.5310 Å, c = 11.1008 Å
α = 90.00°, β = 111.56°, γ = 90.00°
With the nearest neighbours (Å) after each atom.
Space group P2_1/m (No. 11)
Asymmetric unit:
Cs 0.2234 0.2500 0.2493 (multiplicity 2)  7 Te 3.85-4.08
Er 0.3301 0.7500 0.8699 (multiplicity 2)  6 Te 3.01-3.30
Mg 0.0831 0.2500 0.6131 (multiplicity 2)  4 Te 2.75-2.87
Te 0.1211 0.2500 0.8714 (multiplicity 2)  1 Mg 2.75
Te 0.2101 0.7500 0.5505 (multiplicity 2)  3 Mg 2.82-2.87
Te 0.4794 0.7500 0.1598 (multiplicity 2)  3 Er 3.01-3.08